Compound: Ca2Al7Au12
Source: Alexandria
Functional: PBE
Structure: relaxed

Cell: 10.448 10.448 4.265 Å, 90.00 90.00 120.00°
Positions (direct):
Ca (0.333, 0.667, 0.243)
Ca (0.667, 0.333, 0.757)
Al (0.000, 0.000, 0.500)
Al (0.104, 0.396, 0.735)
Al (0.292, 0.896, 0.735)
Al (0.396, 0.292, 0.265)
Al (0.604, 0.708, 0.735)
Al (0.708, 0.104, 0.265)
Al (0.896, 0.604, 0.265)
Au (0.076, 0.624, 0.754)
Au (0.128, 0.865, 0.230)
Au (0.135, 0.263, 0.230)
Au (0.263, 0.128, 0.770)
Au (0.376, 0.452, 0.754)
Au (0.452, 0.076, 0.246)
Au (0.548, 0.924, 0.754)
Au (0.624, 0.548, 0.246)
Au (0.737, 0.872, 0.230)
Au (0.865, 0.737, 0.770)
Au (0.872, 0.135, 0.770)
Au (0.924, 0.376, 0.246)

## Properties
ΔE_f ... -0.468 eV per atom
E_tot ... -3.779 eV per atom
Symmetry ... P-3